A relaxed Li2MgPb crystal, computed with PBE.

Geometry as POSCAR:
```
Li2MgPb
1.0
5.5113 -0.0583 0.3794
4.3796 3.3461 0.3794
1.3794 0.4585 4.5944
Pb Mg Li
1 1 2
direct
0.7442 0.7442 0.7673
0.5068 0.5068 0.4819
0.9945 0.9945 0.9963
0.2545 0.2545 0.2543
```

As for the crystal system: monoclinic.

---

A relaxed LiMg6Pb crystal, computed with PBE.

Geometry as POSCAR:
```
LiMg6Pb
1.0
4.5451 0.0000 0.0000
0.0000 7.8206 -4.4782
0.0000 -1.6803 6.1336
Li Mg Pb
1 6 1
direct
0.0000 0.8727 0.7454
0.0000 0.8803 0.2491
0.0000 0.3688 0.2491
0.0000 0.3720 0.7439
0.5000 0.6236 0.7512
0.5000 0.1275 0.7512
0.5000 0.1209 0.2417
0.5000 0.6342 0.2683
```

The calculation puts the offset from the most stable computed form at 0 meV per atom. As for the crystal system: orthorhombic.

---

A relaxed Li5Mg4Pb crystal, computed with PBE.

Geometry as POSCAR:
```
Li5Mg4Pb
1.0
3.5435 0.0000 0.0000
0.0000 3.5435 0.0000
0.0000 0.0000 16.4064
Li Mg Pb
5 4 1
direct
0.5000 0.5000 0.0988
0.5000 0.5000 0.3001
0.5000 0.5000 0.5000
0.5000 0.5000 0.6999
0.5000 0.5000 0.9012
0.0000 0.0000 0.2027
0.0000 0.0000 0.4003
0.0000 0.0000 0.5997
0.0000 0.0000 0.7973
0.0000 0.0000 0.0000
```

As for the crystal system: tetragonal.

---

A relaxed LiMg12Pb6 crystal, computed with PBE.

Geometry as POSCAR:
```
LiMg12Pb6
1.0
-6.2635 4.2539 -2.0483
0.9876 -1.9132 -7.5423
-4.6841 -6.2378 0.8198
Li Mg Pb
1 12 6
direct
0.0000 0.0000 0.0000
0.5552 0.2031 0.4645
0.2031 0.4645 0.5552
0.4645 0.5552 0.2031
0.4448 0.7969 0.5355
0.7969 0.5355 0.4448
0.5355 0.4448 0.7969
0.9511 0.8556 0.6354
0.3646 0.0489 0.1444
0.1444 0.3646 0.0489
0.0489 0.1444 0.3646
0.6354 0.9511 0.8556
0.8556 0.6354 0.9511
0.2972 0.1178 0.7479
0.8822 0.2521 0.7028
0.2521 0.7028 0.8822
0.7028 0.8822 0.2521
0.1178 0.7479 0.2972
0.7479 0.2972 0.1178
```

As for the crystal system: trigonal.

---

A relaxed Li6MgPb2 crystal, computed with PBE.

Geometry as POSCAR:
```
Li6MgPb2
1.0
-0.7743 -3.8390 -2.5975
8.1624 -0.1331 -2.2366
1.7807 -4.9544 6.7932
Li Mg Pb
12 2 4
direct
0.0000 0.9825 0.1719
0.9999 0.6609 0.5693
0.0000 0.6861 0.8891
0.5000 0.1861 0.6109
0.5001 0.1609 0.9307
0.5000 0.4825 0.3281
0.0000 0.0175 0.8281
0.0001 0.3391 0.4307
0.0000 0.3139 0.1109
0.5000 0.8139 0.3891
0.4999 0.8391 0.0693
0.5000 0.5175 0.6719
0.5000 0.5000 0.0000
0.0000 0.0000 0.5000
0.0000 0.3483 0.7729
0.5000 0.8483 0.7271
0.5000 0.1517 0.2729
0.0000 0.6517 0.2271
```

The calculation puts the offset from the most stable computed form at 4 meV per atom. As for the crystal system: orthorhombic.

---

A relaxed Li2MgPb crystal, computed with PBE.

Geometry as POSCAR:
```
Li2MgPb
1.0
-0.7223 3.5415 0.4044
-1.5005 -0.6764 3.2432
5.7693 0.8515 2.8467
Li Mg Pb
2 1 1
direct
0.0000 0.0000 0.0056
0.5000 0.5000 0.2428
0.0000 0.0000 0.4838
0.5000 0.5000 0.7677
```

As for the crystal system: tetragonal.

---

Calculated energy relative to the elements in order - -0.1977; -0.0474; -0.1138; -0.0130; -0.2689; -0.1695 eV/atom
Calculated size of the total moment in order - 0.00; 0.00; 0.00; 0.00; 0.00; 0.00 μB/f.u.